(1)
DFT (GGA+U) results for a relaxed structure of K3NaFe2O8.

Lattice parameters (Å, degrees): 5.8972 5.8972 7.6475 90.00 90.00 120.00
Last column: nearest neighbours and their distance in Å.
Element x y z (fractional)
1 K 0.0000 0.0000 0.0000  6 O 2.97
2 K 0.3333 0.6667 0.6654  7 O 2.65-2.96
3 K 0.6667 0.3333 0.3346  7 O 2.65-2.96
4 Na 0.0000 0.0000 0.5000  6 O 2.38
5 Fe 0.3333 0.6667 0.2258  4 O 1.64-1.67
6 Fe 0.6667 0.3333 0.7742  4 O 1.64-1.67
7 O 0.1808 0.3616 0.3045  1 Fe 1.67
8 O 0.1808 0.8192 0.3045  1 Fe 1.67
9 O 0.3333 0.6667 0.0119  1 Fe 1.64
10 O 0.3616 0.1808 0.6955  1 Fe 1.67
11 O 0.6384 0.8192 0.3045  1 Fe 1.67
12 O 0.6667 0.3333 0.9881  1 Fe 1.64
13 O 0.8192 0.1808 0.6955  1 Fe 1.67
14 O 0.8192 0.6384 0.6955  1 Fe 1.67

Calculated values
Energy   -0.37198 Ry per atom
Calculated volume   16.45 Å³ per atom

---

(2)
DFT (GGA+U) results for a relaxed structure of KNa2FeO3.

Lattice parameters (Å, degrees): 6.6263 6.3647 10.3093 90.00 90.00 90.00
Last column: nearest neighbours and their distance in Å.
Element x y z (fractional)
1 K 0.1629 0.2500 0.0277  4 O 2.76-2.89
2 K 0.3371 0.7500 0.5277  4 O 2.76-2.89
3 K 0.6629 0.2500 0.4723  4 O 2.76-2.89
4 K 0.8371 0.7500 0.9723  4 O 2.76-2.89
5 Na 0.0055 0.0058 0.7313  3 O 2.33-2.39
6 Na 0.0055 0.4942 0.7313  3 O 2.33-2.39
7 Na 0.4945 0.5058 0.2313  3 O 2.33-2.39
8 Na 0.4945 0.9942 0.2313  3 O 2.33-2.39
9 Na 0.5055 0.0058 0.7687  3 O 2.33-2.39
10 Na 0.5055 0.4942 0.7687  3 O 2.33-2.39
11 Na 0.9945 0.5058 0.2687  3 O 2.33-2.39
12 Na 0.9945 0.9942 0.2687  3 O 2.33-2.39
13 Fe 0.1700 0.2500 0.4915  4 O 1.88-1.95
14 Fe 0.3300 0.7500 0.9915  4 O 1.88-1.95
15 Fe 0.6700 0.2500 0.0085  4 O 1.88-1.95
16 Fe 0.8300 0.7500 0.5085  4 O 1.88-1.95
17 O 0.0000 0.0000 0.5000  2 Fe 1.95
18 O 0.0000 0.5000 0.5000  2 Fe 1.95
19 O 0.1637 0.7500 0.1388  1 Fe 1.88
20 O 0.2095 0.7500 0.8267  1 Fe 1.88
21 O 0.2905 0.2500 0.3267  1 Fe 1.88
22 O 0.3363 0.2500 0.6388  1 Fe 1.88
23 O 0.5000 0.0000 0.0000  2 Fe 1.95
24 O 0.5000 0.5000 0.0000  2 Fe 1.95
25 O 0.6637 0.7500 0.3612  1 Fe 1.88
26 O 0.7095 0.7500 0.6733  1 Fe 1.88
27 O 0.7905 0.2500 0.1733  1 Fe 1.88
28 O 0.8363 0.2500 0.8612  1 Fe 1.88

Calculated values
Energy   -0.36303 Ry per atom
Density of states at the Fermi level   0.00 states/eV per cell
Calculated volume   15.53 Å³ per atom

---

(3)
DFT (GGA+U) results for a relaxed structure of K2Na4Fe2O5.

Lattice parameters (Å, degrees): 6.4769 6.4769 10.5876 90.00 90.00 90.00
Last column: nearest neighbours and their distance in Å.
Element x y z (fractional)
1 K 0.1895 0.1895 0.0000  5 O 2.84-3.09, 2 Fe 3.18
2 K 0.3105 0.6895 0.5000  5 O 2.84-3.09, 2 Fe 3.18
3 K 0.6895 0.3105 0.5000  5 O 2.84-3.09, 2 Fe 3.18
4 K 0.8105 0.8105 0.0000  5 O 2.84-3.09, 2 Fe 3.18
5 Na 0.0000 0.0000 0.2773  3 O 2.26-2.36
6 Na 0.0000 0.0000 0.7227  3 O 2.26-2.36
7 Na 0.0000 0.5000 0.2500  4 O 2.50
8 Na 0.0000 0.5000 0.7500  4 O 2.50
9 Na 0.5000 0.0000 0.2500  4 O 2.50
10 Na 0.5000 0.0000 0.7500  4 O 2.50
11 Na 0.5000 0.5000 0.2227  3 O 2.26-2.36
12 Na 0.5000 0.5000 0.7773  3 O 2.26-2.36
13 Fe 0.2089 0.2089 0.5000  3 O 1.88-1.91
14 Fe 0.2911 0.7089 0.0000  3 O 1.88-1.91
15 Fe 0.7089 0.2911 0.0000  3 O 1.88-1.91
16 Fe 0.7911 0.7911 0.5000  3 O 1.88-1.91
17 O 0.0000 0.0000 0.5000  2 Fe 1.91
18 O 0.2078 0.7922 0.1619  1 Fe 1.88
19 O 0.2078 0.7922 0.8381  1 Fe 1.88
20 O 0.2922 0.2922 0.3381  1 Fe 1.88
21 O 0.2922 0.2922 0.6619  1 Fe 1.88
22 O 0.5000 0.5000 0.0000  2 Fe 1.91
23 O 0.7078 0.7078 0.3381  1 Fe 1.88
24 O 0.7078 0.7078 0.6619  1 Fe 1.88
25 O 0.7922 0.2078 0.1619  1 Fe 1.88
26 O 0.7922 0.2078 0.8381  1 Fe 1.88

Calculated values
Energy   -0.34404 Ry per atom
Calculated volume   17.08 Å³ per atom

---

(4)
DFT (GGA+U) results for a relaxed structure of K2NaFeO3.

Lattice parameters (Å, degrees): 6.4176 6.4176 6.7531 90.00 90.00 120.51
Last column: nearest neighbours and their distance in Å.
Element x y z (fractional)
1 K 0.2500 0.2500 0.5000  6 O 2.79-2.91
2 K 0.2500 0.7500 0.8422  4 O 2.81
3 K 0.7500 0.2500 0.1578  4 O 2.81
4 K 0.7500 0.7500 0.5000  6 O 2.79-2.91
5 Na 0.2500 0.2500 0.0000  4 O 2.35
6 Na 0.7500 0.7500 0.0000  4 O 2.35
7 Fe 0.2500 0.7500 0.3336  4 O 1.88-1.95
8 Fe 0.7500 0.2500 0.6664  4 O 1.88-1.95
9 O 0.0000 0.5000 0.5000  2 Fe 1.95
10 O 0.1069 0.8931 0.1855  1 Fe 1.88
11 O 0.3931 0.6069 0.1855  1 Fe 1.88
12 O 0.5000 0.0000 0.5000  2 Fe 1.95
13 O 0.6069 0.3931 0.8145  1 Fe 1.88
14 O 0.8931 0.1069 0.8145  1 Fe 1.88

Calculated values
Energy   -0.35956 Ry per atom
Density of states at the Fermi level   0.00 states/eV per cell
Calculated volume   17.12 Å³ per atom

---

(5)
DFT (GGA+U) results for a relaxed structure of KNa4FeO4.

Lattice parameters (Å, degrees): 6.0630 18.9900 10.7014 90.00 90.00 90.00
Last column: nearest neighbours and their distance in Å.
Element x y z (fractional)
1 K 0.0948 0.0020 0.1579  4 O 2.66-2.83
2 K 0.0948 0.4980 0.6579  4 O 2.66-2.83
3 K 0.4052 0.5020 0.1579  4 O 2.66-2.83
4 K 0.4052 0.9980 0.6579  4 O 2.66-2.83
5 K 0.5948 0.0020 0.3421  4 O 2.66-2.83
6 K 0.5948 0.4980 0.8421  4 O 2.66-2.83
7 K 0.9052 0.5020 0.3421  4 O 2.66-2.83
8 K 0.9052 0.9980 0.8421  4 O 2.66-2.83
9 Na 0.0649 0.7467 0.0714  4 O 2.36-2.45
10 Na 0.0649 0.7533 0.5714  4 O 2.36-2.45
11 Na 0.0811 0.6770 0.3242  4 O 2.31-2.49
12 Na 0.0811 0.8230 0.8242  4 O 2.31-2.49
13 Na 0.0928 0.0671 0.4451  4 O 2.30-2.43
14 Na 0.0928 0.4329 0.9451  4 O 2.30-2.43
15 Na 0.1050 0.1476 0.6944  3 O 2.36-2.48
16 Na 0.1050 0.3524 0.1944  3 O 2.36-2.48
17 Na 0.3950 0.6476 0.6944  3 O 2.36-2.48
18 Na 0.3950 0.8524 0.1944  3 O 2.36-2.48
19 Na 0.4072 0.5671 0.4451  4 O 2.30-2.43
20 Na 0.4072 0.9329 0.9451  4 O 2.30-2.43
21 Na 0.4189 0.1770 0.3242  4 O 2.31-2.49
22 Na 0.4189 0.3230 0.8242  4 O 2.31-2.49
23 Na 0.4351 0.2467 0.0714  4 O 2.36-2.45
24 Na 0.4351 0.2533 0.5714  4 O 2.36-2.45
25 Na 0.5649 0.7467 0.4286  4 O 2.36-2.45
26 Na 0.5649 0.7533 0.9286  4 O 2.36-2.45
27 Na 0.5811 0.6770 0.1758  4 O 2.31-2.49
28 Na 0.5811 0.8230 0.6758  4 O 2.31-2.49
29 Na 0.5928 0.0671 0.0549  4 O 2.30-2.43
30 Na 0.5928 0.4329 0.5549  4 O 2.30-2.43
31 Na 0.6050 0.1476 0.8056  3 O 2.36-2.48
32 Na 0.6050 0.3524 0.3056  3 O 2.36-2.48
33 Na 0.8950 0.6476 0.8056  3 O 2.36-2.48
34 Na 0.8950 0.8524 0.3056  3 O 2.36-2.48
35 Na 0.9072 0.5671 0.0549  4 O 2.30-2.43
36 Na 0.9072 0.9329 0.5549  4 O 2.30-2.43
37 Na 0.9189 0.1770 0.1758  4 O 2.31-2.49
38 Na 0.9189 0.3230 0.6758  4 O 2.31-2.49
39 Na 0.9351 0.2467 0.4286  4 O 2.36-2.45
40 Na 0.9351 0.2533 0.9286  4 O 2.36-2.45
41 Fe 0.1956 0.1281 0.9622  4 O 1.91-1.93
42 Fe 0.1956 0.3719 0.4622  4 O 1.91-1.93
43 Fe 0.3044 0.6281 0.9622  4 O 1.91-1.93
44 Fe 0.3044 0.8719 0.4622  4 O 1.91-1.93
45 Fe 0.6956 0.1281 0.5378  4 O 1.91-1.93
46 Fe 0.6956 0.3719 0.0378  4 O 1.91-1.93
47 Fe 0.8044 0.6281 0.5378  4 O 1.91-1.93
48 Fe 0.8044 0.8719 0.0378  4 O 1.91-1.93
49 O 0.1195 0.6268 0.5376  1 Fe 1.91
50 O 0.1195 0.8732 0.0376  1 Fe 1.91
51 O 0.1685 0.5481 0.8861  1 Fe 1.91
52 O 0.1685 0.9519 0.3861  1 Fe 1.91
53 O 0.2055 0.6361 0.1332  1 Fe 1.93
54 O 0.2055 0.8639 0.6332  1 Fe 1.93
55 O 0.2124 0.7102 0.8700  1 Fe 1.93
56 O 0.2124 0.7898 0.3700  1 Fe 1.93
57 O 0.2876 0.2102 0.8700  1 Fe 1.93
58 O 0.2876 0.2898 0.3700  1 Fe 1.93
59 O 0.2945 0.1361 0.1332  1 Fe 1.93
60 O 0.2945 0.3639 0.6332  1 Fe 1.93
61 O 0.3315 0.0481 0.8861  1 Fe 1.91
62 O 0.3315 0.4519 0.3861  1 Fe 1.91
63 O 0.3805 0.1268 0.5376  1 Fe 1.91
64 O 0.3805 0.3732 0.0376  1 Fe 1.91
65 O 0.6195 0.6268 0.9624  1 Fe 1.91
66 O 0.6195 0.8732 0.4624  1 Fe 1.91
67 O 0.6685 0.5481 0.6139  1 Fe 1.91
68 O 0.6685 0.9519 0.1139  1 Fe 1.91
69 O 0.7055 0.6361 0.3668  1 Fe 1.93
70 O 0.7055 0.8639 0.8668  1 Fe 1.93
71 O 0.7124 0.7102 0.6300  1 Fe 1.93
72 O 0.7124 0.7898 0.1300  1 Fe 1.93
73 O 0.7876 0.2102 0.6300  1 Fe 1.93
74 O 0.7876 0.2898 0.1300  1 Fe 1.93
75 O 0.7945 0.1361 0.3668  1 Fe 1.93
76 O 0.7945 0.3639 0.8668  1 Fe 1.93
77 O 0.8315 0.0481 0.6139  1 Fe 1.91
78 O 0.8315 0.4519 0.1139  1 Fe 1.91
79 O 0.8805 0.1268 0.9624  1 Fe 1.91
80 O 0.8805 0.3732 0.4624  1 Fe 1.91

Calculated values
Energy   -0.33807 Ry per atom
Density of states at the Fermi level   0.00 states/eV per cell
Calculated volume   15.40 Å³ per atom

---

(6)
DFT (GGA+U) results for a relaxed structure of KNaFeSi4O10.

Lattice parameters (Å, degrees): 7.0586 8.2931 10.0692 105.19 101.08 113.89
Last column: nearest neighbours and their distance in Å.
Element x y z (fractional)
1 K 0.1715 0.3124 0.0154  6 O 2.77-3.06
2 K 0.8285 0.6876 0.9846  6 O 2.77-3.06
3 Na 0.2492 0.7817 0.4104  5 O 2.42-2.69
4 Na 0.7508 0.2183 0.5896  5 O 2.42-2.69
5 Fe 0.2475 0.1982 0.5912  4 O 2.03-2.17
6 Fe 0.7525 0.8018 0.4088  4 O 2.03-2.17
7 Si 0.1038 0.8739 0.7310  4 O 1.60-1.65
8 Si 0.2566 0.5909 0.7849  4 O 1.60-1.66
9 Si 0.3285 0.1260 0.2701  4 O 1.60-1.65
10 Si 0.4271 0.8043 0.1315  4 O 1.60-1.65
11 Si 0.5729 0.1957 0.8685  4 O 1.60-1.65
12 Si 0.6715 0.8740 0.7299  4 O 1.60-1.65
13 Si 0.7434 0.4091 0.2151  4 O 1.60-1.66
14 Si 0.8962 0.1261 0.2690  4 O 1.60-1.65
15 O 0.0854 0.9117 0.5819  1 Si 1.60
16 O 0.0928 0.6672 0.7164  2 Si 1.65
17 O 0.0948 0.1257 0.2059  2 Si 1.65
18 O 0.1473 0.3644 0.7115  1 Si 1.60
19 O 0.2835 0.9178 0.1594  2 Si 1.65
20 O 0.2937 0.6473 0.9618  2 Si 1.65-1.66
21 O 0.3304 0.0446 0.8664  2 Si 1.65
22 O 0.3946 0.1469 0.4372  1 Si 1.60
23 O 0.4405 0.7001 0.2429  1 Si 1.60
24 O 0.4963 0.7036 0.7668  2 Si 1.64
25 O 0.5037 0.2964 0.2332  2 Si 1.64
26 O 0.5595 0.2999 0.7571  1 Si 1.60
27 O 0.6054 0.8531 0.5628  1 Si 1.60
28 O 0.6696 0.9554 0.1336  2 Si 1.65
29 O 0.7063 0.3527 0.0382  2 Si 1.65-1.66
30 O 0.7165 0.0822 0.8406  2 Si 1.65
31 O 0.8527 0.6357 0.2885  1 Si 1.60
32 O 0.9052 0.8743 0.7941  2 Si 1.65
33 O 0.9072 0.3328 0.2836  2 Si 1.65
34 O 0.9146 0.0883 0.4181  1 Si 1.60

Calculated values
Energy   -0.52860 Ry per atom
Density of states at the Fermi level   0.00 states/eV per cell
Calculated volume   14.40 Å³ per atom

---

Q: What is the calculated volume in the first record?
A: 16.45 Å³ per atom

---

Q: What is the energy in the second record?
A: -0.36303 Ry per atom

---

Q: Which of these has the lowest calculated volume?
A: KNaFeSi4O10

---

Q: Which of these has the lowest energy?
A: KNaFeSi4O10